Record 1
# BaOs2Rh

A geometry-optimized BaOs2Rh structure (GGA-PBE, Alexandria via LeMat-Bulk).

The space group is P2/m. The calculation puts the distance to the lowest polymorph of the same formula at 0.661 eV per atom. The formation energy is 3.9 eV/f.u.

```
BaOs2Rh
1.0
-3.748 -2.348 -1.184
1.680 -2.048 -1.256
0.947 -3.998 4.929
Os Rh Ba
2 1 1
direct
0.000 0.702 0.162
0.000 0.298 0.838
0.500 0.500 0.000
0.500 0.000 0.500
```


Record 2
# BeNF3

A geometry-optimized BeNF3 structure (GGA-PBE, Alexandria via LeMat-Bulk).

The space group is Pm-3m. As for the formation energy without anion corrections: 0.543 eV/atom. The calculation puts the distance to the lowest polymorph of the same formula at 1.887 eV per atom.

```
BeNF3
1.0
-2.012 1.364 2.962
-1.064 -3.564 0.918
3.082 -0.341 2.251
F N Be
3 1 1
direct
0.500 0.500 0.000
0.500 0.000 0.500
0.000 0.500 0.500
0.500 0.500 0.500
0.000 0.000 0.000
```


Record 3
# Sr2In2Ga

A geometry-optimized Sr2In2Ga structure (GGA-PBE, Alexandria via LeMat-Bulk).

The space group is C2/m. The calculation puts the distance to the lowest polymorph of the same formula at 0.000 eV per atom. The formation energy is -2.2 eV/f.u.

```
Sr2In2Ga
1.0
-1.558 2.449 3.819
-5.811 -2.029 1.942
4.313 -5.693 8.422
Sr Ga In
4 2 4
direct
0.076 0.735 0.113
0.328 0.678 0.667
0.924 0.265 0.887
0.672 0.322 0.333
0.374 0.914 0.339
0.626 0.086 0.661
0.638 0.840 0.885
0.899 0.754 0.447
0.362 0.160 0.115
0.101 0.246 0.553
```


Record 4
# SrIrPt2

A geometry-optimized SrIrPt2 structure (GGA-PBE, Alexandria via LeMat-Bulk).

The space group is P4/mmm. The calculation puts the distance to the lowest polymorph of the same formula at 0.074 eV per atom. The formation energy is -0.1 eV/f.u.

```
SrIrPt2
1.0
4.111 0.000 0.000
0.000 4.229 0.000
0.000 0.000 4.229
Pt Ir Sr
2 1 1
direct
0.000 0.500 0.500
0.000 0.000 0.000
0.500 0.000 0.500
0.500 0.500 0.000
```


One value per record, in order, for total DFT energy (no corrections): -6.959; -2.990; -2.818; -5.677 eV/atom.